{
  "formula": "AlPPb2",
  "functional": "meta-GGA SCAN",
  "state": "single point on PBEsol structure",
  "lattice": [[3.321, -3.664, 0.000], [3.321, 3.664, 0.000], [-0.011, 0.000, 3.774]],
  "species": ["Al", "P", "Pb", "Pb"],
  "fractional_positions": [[0.000, 0.000, 0.000], [0.500, 0.500, 0.000], [0.000, 0.500, 0.500], [0.500, 0.000, 0.500]],
  "polymorph_energy_ev_per_fu": 1.58,
  "energy_ev_per_atom": -42.04,
  "formation_energy_ev_per_atom": 0.3841,
  "n_ef_per_ev_cell": 1.91,
  "sg": "No. 12",
  "vol_a3_per_cell": 91.87
}